# 1
This record from OQMD via LeMat-Bulk describes crystalline SrHgPb at its relaxed geometry. The functional is PBE.

Lattice parameters (Å, degrees): 8.398 8.398 4.551 90.00 90.00 120.00
Positions (direct):
Sr (0.000, 0.602, 0.000)
Sr (0.398, 0.398, 0.000)
Sr (0.602, 0.000, 0.000)
Hg (0.000, 0.000, 0.000)
Hg (0.333, 0.667, 0.500)
Hg (0.667, 0.333, 0.500)
Pb (0.000, 0.257, 0.500)
Pb (0.257, 0.000, 0.500)
Pb (0.743, 0.743, 0.500)

Calculated values
Final energy, eV per atom: -2.3319
Volume, Å³ per cell: 278.0



# 2
This record from OQMD via LeMat-Bulk describes crystalline TcHg2Pb at its relaxed geometry. The functional is PBE.

Lattice parameters (Å, degrees): 5.010 5.010 5.010 60.00 60.00 60.00
Positions (direct):
Tc (0.000, 0.000, 0.000)
Hg (0.250, 0.250, 0.250)
Hg (0.500, 0.500, 0.500)
Pb (0.750, 0.750, 0.750)

Calculated values
Final energy, eV per atom: -2.9162
Volume, Å³ per cell: 88.9



# 3
This record from OQMD via LeMat-Bulk describes crystalline Hg2Te3Pb at its relaxed geometry. The functional is PBE.

Lattice parameters (Å, degrees): 8.393 8.393 10.620 90.00 90.00 150.06
Positions (direct):
Hg (0.000, 0.000, 0.000)
Hg (0.000, 0.000, 0.500)
Hg (0.460, 0.540, 0.750)
Hg (0.540, 0.460, 0.250)
Te (0.079, 0.921, 0.750)
Te (0.340, 0.660, 0.554)
Te (0.340, 0.660, 0.946)
Te (0.660, 0.340, 0.054)
Te (0.660, 0.340, 0.446)
Te (0.921, 0.079, 0.250)
Pb (0.241, 0.759, 0.250)
Pb (0.759, 0.241, 0.750)

Calculated values
Final energy, eV per atom: -2.3228
Volume, Å³ per cell: 373.5



# 4
This record from OQMD via LeMat-Bulk describes crystalline TmHgTe3Pb at its relaxed geometry. The functional is PBE.

Lattice parameters (Å, degrees): 7.839 7.839 11.070 90.00 90.00 147.91
Positions (direct):
Tm (0.000, 0.000, 0.000)
Tm (0.000, 0.000, 0.500)
Hg (0.469, 0.531, 0.750)
Hg (0.531, 0.469, 0.250)
Te (0.102, 0.898, 0.750)
Te (0.355, 0.645, 0.537)
Te (0.355, 0.645, 0.963)
Te (0.645, 0.355, 0.037)
Te (0.645, 0.355, 0.463)
Te (0.898, 0.102, 0.250)
Pb (0.229, 0.771, 0.250)
Pb (0.771, 0.229, 0.750)

Calculated values
Final energy, eV per atom: -3.5528
Volume, Å³ per cell: 361.4



# 5
This record from OQMD via LeMat-Bulk describes crystalline ZnHgTe3Pb at its relaxed geometry. The functional is PBE.

Lattice parameters (Å, degrees): 7.519 7.519 12.240 90.00 90.00 147.45
Positions (direct):
Zn (0.000, 0.000, 0.000)
Zn (0.000, 0.000, 0.500)
Hg (0.472, 0.528, 0.750)
Hg (0.528, 0.472, 0.250)
Te (0.111, 0.889, 0.750)
Te (0.373, 0.627, 0.553)
Te (0.373, 0.627, 0.947)
Te (0.627, 0.373, 0.053)
Te (0.627, 0.373, 0.447)
Te (0.889, 0.111, 0.250)
Pb (0.228, 0.772, 0.250)
Pb (0.772, 0.228, 0.750)

Calculated values
Volume, Å³ per cell: 372.3
E above lowest polymorph, eV/atom: 0.0776



# 6
This record from OQMD via LeMat-Bulk describes crystalline ZnHgTe3Pb at its relaxed geometry. The functional is PBE.

Lattice parameters (Å, degrees): 7.392 7.392 12.016 90.00 90.00 146.15
Positions (direct):
Zn (0.031, 0.969, 0.750)
Zn (0.969, 0.031, 0.250)
Hg (0.500, 0.500, 0.000)
Hg (0.500, 0.500, 0.500)
Te (0.142, 0.858, 0.570)
Te (0.142, 0.858, 0.930)
Te (0.414, 0.586, 0.750)
Te (0.586, 0.414, 0.250)
Te (0.858, 0.142, 0.070)
Te (0.858, 0.142, 0.430)
Pb (0.265, 0.735, 0.250)
Pb (0.735, 0.265, 0.750)

Calculated values
Volume, Å³ per cell: 365.7
E above lowest polymorph, eV/atom: 0.0000



Copy entry 2 word for word.
This record from OQMD via LeMat-Bulk describes crystalline TcHg2Pb at its relaxed geometry. The functional is PBE.

Lattice parameters (Å, degrees): 5.010 5.010 5.010 60.00 60.00 60.00
Positions (direct):
Tc (0.000, 0.000, 0.000)
Hg (0.250, 0.250, 0.250)
Hg (0.500, 0.500, 0.500)
Pb (0.750, 0.750, 0.750)

Calculated values
Final energy, eV per atom: -2.9162
Volume, Å³ per cell: 88.9



Question: volume of number 6 (ZnHgTe3Pb)?
Answer: 365.7 Å³ per cell



Question: volume of number 2 (TcHg2Pb)?
Answer: 88.9 Å³ per cell



Question: Look up the volume of the sixth one.
Answer: 365.7 Å³ per cell